BaSn2F6: optimized geometry, PBE.

Values from the calculation:
Crystal system   monoclinic
Space-group type   No. 15
Formation energy from raw total energies   -2.8340 eV/atom
Magnetic moment   0.0 μB per cell
VASP energy   -46.662 eV per formula unit
Offset from the most stable computed form   0 meV per atom
D(E_F)   0.00 states/eV/f.u.

Cell: 7.443 7.443 8.220 Å, 117.76 117.76 70.39°
Element x y z (fractional)
1 Ba 0.145 0.855 0.750
2 Ba 0.855 0.145 0.250
3 Sn 0.261 0.408 0.249
4 Sn 0.408 0.261 0.749
5 Sn 0.592 0.739 0.251
6 Sn 0.739 0.592 0.751
7 F 0.120 0.155 0.617
8 F 0.155 0.120 0.117
9 F 0.196 0.420 0.487
10 F 0.274 0.557 0.895
11 F 0.420 0.196 0.987
12 F 0.443 0.726 0.605
13 F 0.557 0.274 0.395
14 F 0.580 0.804 0.013
15 F 0.726 0.443 0.105
16 F 0.804 0.580 0.513
17 F 0.845 0.880 0.883
18 F 0.880 0.845 0.383